Record 1
This record from the Alexandria database describes a relaxed structure of KFe2Br7. The functional is PBE.

Cell lengths 9.3627, 9.3627, 5.1752 Å; angles 90.00, 90.00, 104.07 degrees
Closest atoms and distances in Å follow each position.
Sites, in units of the cell vectors:
1 K 0.0000 0.0000 0.0000  10 Br 3.57-3.75
2 Fe 0.2819 0.2819 0.5000  5 Br 2.35-2.61
3 Fe 0.7181 0.7181 0.5000  5 Br 2.35-2.61
4 Br 0.0346 0.2958 0.5000  1 Fe 2.35
5 Br 0.2958 0.0346 0.5000  1 Fe 2.35
6 Br 0.3096 0.3096 0.0000  2 Fe 2.61
7 Br 0.5000 0.5000 0.5000  2 Fe 2.51
8 Br 0.6904 0.6904 0.0000  2 Fe 2.61
9 Br 0.7042 0.9654 0.5000  1 Fe 2.35
10 Br 0.9654 0.7042 0.5000  1 Fe 2.35

N(E_F) ... 2.0 states/eV/cell
Formation energy from raw total energies ... -0.61 eV/atom
Mass density ... 2.68 Mg/m³
Space-group type ... Cmmm, No. 65

Record 2
This record from the Alexandria database describes a relaxed structure of K4FeBr6. The functional is PBE.

Cell lengths 8.9329, 8.9329, 15.5224 Å; angles 110.16, 110.16, 55.59 degrees
Closest atoms and distances in Å follow each position.
Sites, in units of the cell vectors:
1 K 0.0636 0.4717 0.8261  5 Br 3.18-3.46
2 K 0.1341 0.8659 0.5000  5 Br 3.17-3.46
3 K 0.2700 0.5930 0.1763  4 Br 3.17-3.47
4 K 0.4717 0.0636 0.3261  5 Br 3.18-3.46
5 K 0.5028 0.7831 0.9693  4 Br 3.19-3.48
6 K 0.5930 0.2700 0.6763  4 Br 3.17-3.47
7 K 0.7831 0.5028 0.4693  4 Br 3.19-3.48
8 K 0.8659 0.1341 0.0000  5 Br 3.17-3.46
9 Fe 0.4683 0.9487 0.7319  4 Br 2.44-2.48
10 Fe 0.9487 0.4683 0.2319  4 Br 2.44-2.48
11 Br 0.1015 0.4872 0.3978  1 Fe 2.46
12 Br 0.1975 0.2468 0.1406  1 Fe 2.48
13 Br 0.2015 0.7207 0.9926  4 K 3.17-3.19
14 Br 0.2468 0.1975 0.6406  1 Fe 2.48
15 Br 0.3475 0.7485 0.7071  1 Fe 2.44
16 Br 0.3861 0.8048 0.3749  4 K 3.17-3.21
17 Br 0.4872 0.1015 0.8978  1 Fe 2.46
18 Br 0.7207 0.2015 0.4926  4 K 3.17-3.19
19 Br 0.7485 0.3475 0.2071  1 Fe 2.44
20 Br 0.7665 0.7966 0.6868  1 Fe 2.44
21 Br 0.7966 0.7665 0.1868  1 Fe 2.44
22 Br 0.8048 0.3861 0.8749  4 K 3.17-3.21

N(E_F) ... 13.8 states/eV/cell
Formation energy from raw total energies ... -1.35 eV/atom
Mass density ... 2.44 Mg/m³
Space-group type ... Cc, No. 9

Number 1: calculated total energy -3.583 eV/atom. Number 2: calculated total energy -3.435 eV/atom.